The following is a DFT calculation (PBE with a Hubbard U) of a relaxed structure of Cr2OsPbO.

Cell and atoms, written as POSCAR:
```
Cr2OsPbO
1.0
4.0537 0.0000 0.0000
0.0000 5.0036 0.0000
0.0000 0.0000 4.0537
Pb Cr Os O
1 2 1 1
direct
0.0000 0.5000 0.0000
0.0000 0.0000 0.5000
0.5000 0.0000 0.0000
0.5000 0.5000 0.5000
0.0000 0.0000 0.0000
```

## Properties
The calculation puts the total magnetic moment at 7.2 μB/cell. As for the calculated volume: 16.4 Å³ per atom. The density of states at the Fermi level comes out at 0.61 states/eV/atom. The calculation puts the total energy at -6.850 eV/atom.